Computed, not measured: a relaxed structure of SmDy4Cd at the GGA-PBE level of DFT.

```
data_SmDy4Cd
_chemical_formula_sum 'Sm1 Dy4 Cd1'
_cell_length_a 3.577
_cell_length_b 3.577
_cell_length_c 14.149
_cell_angle_alpha 90.00
_cell_angle_beta 90.00
_cell_angle_gamma 90.00
_symmetry_space_group_name_H-M 'P 4/m m m'
_symmetry_Int_Tables_number 123
_symmetry_space_group_name_Hall '-P 4 2'
loop_
_atom_site_label
_atom_site_fract_x
_atom_site_fract_y
_atom_site_fract_z
Sm1 0.000 0.000 0.000
Dy1 0.000 0.000 0.354
Dy2 0.500 0.500 0.179
Cd1 0.500 0.500 0.500
```

Calculated values
Volume (A^3/atom): 30.18
Total energy (eV/cell): -24.58

Computed, not measured: a relaxed structure of Be2SiAs at the GGA-PBE level of DFT.

```
data_Be2SiAs
_chemical_formula_sum 'Be4 Si2 As2'
_cell_length_a 7.327
_cell_length_b 2.779
_cell_length_c 5.886
_cell_angle_alpha 90.00
_cell_angle_beta 102.61
_cell_angle_gamma 90.00
_symmetry_space_group_name_H-M 'C 1 m 1'
_symmetry_Int_Tables_number 8
_symmetry_space_group_name_Hall 'C -2y'
loop_
_atom_site_label
_atom_site_fract_x
_atom_site_fract_y
_atom_site_fract_z
Be1 0.000 0.000 0.000
Be2 0.176 0.500 0.777
Si1 0.304 0.000 0.138
As1 0.366 0.000 0.589
```

Calculated values
E_form (uncorrected) (eV/atom): 0.2564
Volume (A^3/atom): 14.62

Computed, not measured: a relaxed structure of Li2CaBe at the GGA-PBE level of DFT.

```
data_Li2CaBe
_chemical_formula_sum 'Li2 Ca1 Be1'
_cell_length_a 3.407
_cell_length_b 3.407
_cell_length_c 6.953
_cell_angle_alpha 90.00
_cell_angle_beta 90.00
_cell_angle_gamma 90.00
_symmetry_space_group_name_H-M 'P 4/m m m'
_symmetry_Int_Tables_number 123
_symmetry_space_group_name_Hall '-P 4 2'
loop_
_atom_site_label
_atom_site_fract_x
_atom_site_fract_y
_atom_site_fract_z
Li1 0.000 0.000 0.175
Ca1 0.500 0.500 0.500
Be1 0.500 0.500 0.000
```

Calculated values
Volume (A^3/atom): 20.18
Total energy (eV/cell): -8.30

Computed, not measured: a relaxed structure of Ca3MgP at the GGA-PBE level of DFT.

```
data_Ca3MgP
_chemical_formula_sum 'Ca6 Mg2 P2'
_cell_length_a 3.964
_cell_length_b 7.643
_cell_length_c 17.585
_cell_angle_alpha 90.00
_cell_angle_beta 90.00
_cell_angle_gamma 90.00
_symmetry_space_group_name_H-M 'A m m 2'
_symmetry_Int_Tables_number 38
_symmetry_space_group_name_Hall 'A 2 -2'
loop_
_atom_site_label
_atom_site_fract_x
_atom_site_fract_y
_atom_site_fract_z
Ca1 0.000 0.000 0.000
Ca2 0.500 0.246 0.823
Mg1 0.500 0.000 0.159
P1 0.000 0.000 0.845
```

Calculated values
Volume (A^3/atom): 53.27
Total energy (eV/cell): -26.75

Computed, not measured: a relaxed structure of AcSm7Dy2 at the GGA-PBE level of DFT.

```
data_AcSm7Dy2
_chemical_formula_sum 'Ac2 Sm14 Dy4'
_cell_length_a 8.945
_cell_length_b 16.044
_cell_length_c 5.817
_cell_angle_alpha 90.00
_cell_angle_beta 90.00
_cell_angle_gamma 90.00
_symmetry_space_group_name_H-M 'C m m m'
_symmetry_Int_Tables_number 65
_symmetry_space_group_name_Hall '-C 2 2'
loop_
_atom_site_label
_atom_site_fract_x
_atom_site_fract_y
_atom_site_fract_z
Ac1 0.000 0.000 0.000
Sm1 0.000 0.234 0.000
Sm2 0.000 0.500 0.500
Sm3 0.179 0.120 0.500
Dy1 0.000 0.297 0.500
```

Calculated values
Volume (A^3/atom): 41.74
Total energy (eV/cell): -79.98

Computed, not measured: a relaxed structure of FeCoW2 at the GGA-PBE level of DFT.

```
data_FeCoW2
_chemical_formula_sum 'Fe1 Co1 W2'
_cell_length_a 3.114
_cell_length_b 3.114
_cell_length_c 5.584
_cell_angle_alpha 90.00
_cell_angle_beta 90.00
_cell_angle_gamma 90.00
_symmetry_space_group_name_H-M 'P 4 m m'
_symmetry_Int_Tables_number 99
_symmetry_space_group_name_Hall 'P 4 -2'
loop_
_atom_site_label
_atom_site_fract_x
_atom_site_fract_y
_atom_site_fract_z
Fe1 0.000 0.000 0.000
Co1 0.500 0.500 0.750
W1 0.000 0.000 0.534
W2 0.500 0.500 0.227
```

Calculated values
Volume (A^3/atom): 13.54
Total energy (eV/cell): -40.84